[1]
Material: SrTl2SiSe4
Method: DFT, PBE-GGA
State: relaxed

extended XYZ file:
```
16
Lattice="-4.057 4.531 6.102 4.057 -4.531 6.102 4.057 4.531 -6.102" Properties=species:S:1:pos:R:3 pbc="T T T"
Sr 0.000 0.000 0.000
Sr 0.000 4.531 0.000
Tl 4.057 0.000 0.000
Tl -2.028 2.266 3.051
Tl 0.000 0.000 6.102
Tl 2.028 2.266 3.051
Si 2.028 2.266 -3.051
Si 2.028 -2.266 3.051
Se 4.057 4.009 -3.069
Se 4.057 -0.522 3.069
Se 1.987 2.266 -0.537
Se 2.070 -2.266 5.565
Se 1.987 6.797 0.537
Se 2.070 2.266 6.639
Se 0.000 5.054 3.034
Se 0.000 0.522 9.171
```

Computed properties:
ΔE_f (raw): -0.59 eV/atom
Total magnetization: 0.0 μB per formula unit
Crystal system: orthorhombic
Fermi-level density of states: 5.08 states/eV/f.u.
SG: Imma, No. 74

=====

[2]
Material: SrZrSi2Se8
Method: DFT, PBE-GGA
State: relaxed

extended XYZ file:
```
12
Lattice="6.288 0.000 0.000 -3.144 5.446 0.000 0.000 0.000 9.274" Properties=species:S:1:pos:R:3 pbc="T T T"
Sr 0.000 0.000 0.000
Zr 0.000 0.000 4.637
Si 0.000 3.631 6.943
Si 3.144 1.815 2.330
Se -1.978 3.709 2.942
Se 0.921 1.878 2.942
Se 0.000 3.631 9.214
Se 2.087 0.141 6.332
Se 1.057 5.304 2.942
Se 3.144 1.815 0.060
Se 2.223 3.568 6.332
Se 5.122 1.737 6.332
```

Computed properties:
ΔE_f (raw): -0.69 eV/atom
Total magnetization: 0.0 μB per formula unit
Crystal system: trigonal
Fermi-level density of states: 10.93 states/eV/f.u.
SG: P-3, No. 147

=====

[3]
Material: TaSi3Se
Method: DFT, PBE-GGA
State: relaxed

extended XYZ file:
```
5
Lattice="4.628 0.000 0.000 0.000 4.628 0.000 0.000 0.000 4.628" Properties=species:S:1:pos:R:3 pbc="T T T"
Ta 0.000 0.000 0.000
Si 0.000 2.314 2.314
Si 2.314 0.000 2.314
Si 2.314 2.314 0.000
Se 2.314 2.314 2.314
```

Computed properties:
ΔE_f (raw): 1.39 eV/atom
Total magnetization: 0.0 μB per formula unit
Energy above the lowest structure with this stoichiometry: 0.510 eV per atom
Crystal system: cubic
Fermi-level density of states: 5.77 states/eV/f.u.
SG: Pm-3m, No. 221

=====

Repeat the second record exactly.
Material: SrZrSi2Se8
Method: DFT, PBE-GGA
State: relaxed

extended XYZ file:
```
12
Lattice="6.288 0.000 0.000 -3.144 5.446 0.000 0.000 0.000 9.274" Properties=species:S:1:pos:R:3 pbc="T T T"
Sr 0.000 0.000 0.000
Zr 0.000 0.000 4.637
Si 0.000 3.631 6.943
Si 3.144 1.815 2.330
Se -1.978 3.709 2.942
Se 0.921 1.878 2.942
Se 0.000 3.631 9.214
Se 2.087 0.141 6.332
Se 1.057 5.304 2.942
Se 3.144 1.815 0.060
Se 2.223 3.568 6.332
Se 5.122 1.737 6.332
```

Computed properties:
ΔE_f (raw): -0.69 eV/atom
Total magnetization: 0.0 μB per formula unit
Crystal system: trigonal
Fermi-level density of states: 10.93 states/eV/f.u.
SG: P-3, No. 147

=====

- What is the total magnetization in the first record?
  0.0 μB per formula unit

=====

- The lowest Fermi-level density of states belongs to which entry?
  SrTl2SiSe4